Entry 1:
SmDyHo5 | PBE | optimized geometry

Output
energy above the most stable polymorph in this dataset = 798 meV/atom
DFT total energy = -25.25 eV per formula unit
formation energy from the elements = 7.0 eV/f.u.
SG = Imm2 (44)

Lattice parameters (Å, degrees): 6.138 7.975 7.700 121.19 113.49 90.00
Positions (direct):
Ho: 0.186 0.256 0.511
Ho: 0.433 0.179 0.000
Sm: 0.697 0.500 0.000
Ho: 0.170 0.500 0.000
Ho: 0.675 0.744 0.489
Ho: 0.433 0.821 0.000
Dy: 0.936 0.000 0.000

---

Entry 2:
Sm7DyHo12 | PBE | optimized geometry

Output
energy above the most stable polymorph in this dataset = 433 meV/atom
DFT total energy = -79.17 eV per formula unit
formation energy from the elements = 13.4 eV/f.u.
SG = Im-3m (229)

Lattice parameters (Å, degrees): 9.736 9.736 9.736 109.47 109.47 109.47
Positions (direct):
Ho: 0.496 0.248 0.248
Sm: 0.500 0.000 0.500
Sm: 0.500 0.500 0.500
Ho: 0.752 0.752 0.504
Ho: 0.752 0.000 0.248
Ho: 0.248 0.496 0.248
Sm: 0.500 0.500 0.000
Ho: 0.752 0.504 0.752
Sm: 0.000 0.000 0.500
Dy: 0.000 0.000 0.000
Ho: 0.504 0.752 0.752
Ho: 0.248 0.000 0.752
Ho: 0.248 0.752 0.000
Sm: 0.000 0.500 0.000
Ho: 0.000 0.752 0.248
Ho: 0.752 0.248 0.000
Sm: 0.000 0.500 0.500
Ho: 0.248 0.248 0.496
Sm: 0.500 0.000 0.000
Ho: 0.000 0.248 0.752

---

Entry 3:
Sm2Dy3Ho5 | PBE | optimized geometry

Output
energy above the most stable polymorph in this dataset = 214 meV/atom
DFT total energy = -42.01 eV per formula unit
formation energy from the elements = 4.1 eV/f.u.
SG = Ibam (72)

Lattice parameters (Å, degrees): 6.759 12.281 12.281 44.67 74.03 74.03
Positions (direct):
Ho: 0.125 0.465 0.286
Dy: 0.874 0.875 0.377
Ho: 0.501 0.749 0.749
Dy: 0.250 0.000 0.000
Ho: 0.999 0.251 0.251
Sm: 0.626 0.974 0.775
Sm: 0.126 0.775 0.974
Sm: 0.874 0.225 0.026
Sm: 0.374 0.026 0.225
Ho: 0.375 0.714 0.535
Dy: 0.750 0.000 0.000
Ho: 0.250 0.500 0.500
Dy: 0.626 0.623 0.125
Dy: 0.374 0.377 0.875
Ho: 0.499 0.251 0.251
Ho: 0.001 0.749 0.749
Ho: 0.875 0.535 0.714
Dy: 0.126 0.125 0.623
Ho: 0.750 0.500 0.500
Ho: 0.625 0.286 0.465

---

Entry 4:
Sm4Dy3Ho2 | PBE | optimized geometry

Output
energy above the most stable polymorph in this dataset = 38 meV/atom
DFT total energy = -41.34 eV per formula unit
formation energy from the elements = 0.5 eV/f.u.
SG = Cccm (66)

Lattice parameters (Å, degrees): 7.050 9.758 9.758 60.11 90.00 90.00
Positions (direct):
Sm: 0.000 0.152 0.821
Ho: 0.500 0.845 0.477
Sm: 0.500 0.179 0.848
Dy: 0.750 0.170 0.170
Dy: 0.750 0.830 0.830
Sm: 0.500 0.522 0.823
Sm: 0.500 0.478 0.177
Ho: 0.000 0.477 0.845
Sm: 0.500 0.821 0.152
Ho: 0.500 0.155 0.523
Sm: 0.000 0.177 0.478
Dy: 0.250 0.500 0.500
Sm: 0.000 0.823 0.522
Ho: 0.000 0.523 0.155
Dy: 0.750 0.500 0.500
Dy: 0.250 0.170 0.170
Dy: 0.250 0.830 0.830
Sm: 0.000 0.848 0.179

---

Entry 5:
Sm2Dy2Ho7 | PBE | optimized geometry

Output
energy above the most stable polymorph in this dataset = 4 meV/atom
DFT total energy = -48.93 eV per formula unit
formation energy from the elements = 1.8 eV/f.u.
SG = C2/m (12)

Lattice parameters (Å, degrees): 6.024 8.013 8.013 91.89 74.02 74.02
Positions (direct):
Ho: 0.826 0.410 0.937
Dy: 0.807 0.408 0.408
Ho: 0.000 0.000 0.000
Sm: 0.500 0.214 0.786
Dy: 0.193 0.592 0.592
Sm: 0.500 0.786 0.214
Ho: 0.583 0.767 0.767
Ho: 0.174 0.063 0.590
Ho: 0.174 0.590 0.063
Ho: 0.417 0.233 0.233
Ho: 0.826 0.937 0.410

---

Entry 6:
Sm11Dy9Ho4 | PBE | optimized geometry

Output
DFT total energy = -110.33 eV per formula unit
formation energy from the elements = 1.3 eV/f.u.
SG = Cmmm (65)

Lattice parameters (Å, degrees): 3.646 15.313 15.313 113.10 90.00 90.00
Positions (direct):
Sm: 0.000 0.632 0.368
Sm: 0.000 0.044 0.406
Dy: 0.500 0.631 0.165
Ho: 0.500 0.242 0.445
Sm: 0.000 0.707 0.707
Sm: 0.000 0.956 0.594
Sm: 0.000 0.160 0.840
Sm: 0.000 0.840 0.160
Dy: 0.500 0.786 0.932
Dy: 0.500 0.500 0.500
Dy: 0.500 0.165 0.631
Ho: 0.500 0.758 0.555
Dy: 0.500 0.932 0.786
Sm: 0.000 0.293 0.293
Sm: 0.000 0.594 0.956
Dy: 0.500 0.214 0.068
Ho: 0.500 0.555 0.758
Sm: 0.000 0.406 0.044
Dy: 0.500 0.068 0.214
Sm: 0.000 0.000 0.000
Dy: 0.500 0.835 0.369
Sm: 0.000 0.368 0.632
Dy: 0.500 0.369 0.835
Ho: 0.500 0.445 0.242

---

Entry 7:
Sm3Dy8Ho3 | PBE | optimized geometry

Output
DFT total energy = -63.18 eV per formula unit
formation energy from the elements = 1.5 eV/f.u.
SG = Immm (71)

Lattice parameters (Å, degrees): 5.628 9.631 9.631 101.70 73.01 73.01
Positions (direct):
Ho: 0.796 0.204 0.204
Ho: 0.500 0.500 0.500
Dy: 0.659 0.119 0.562
Dy: 0.842 0.555 0.762
Sm: 0.500 0.000 0.000
Dy: 0.158 0.445 0.238
Dy: 0.842 0.762 0.555
Sm: 0.000 0.818 0.182
Dy: 0.341 0.881 0.438
Sm: 0.000 0.182 0.818
Dy: 0.158 0.238 0.445
Dy: 0.659 0.562 0.119
Ho: 0.204 0.796 0.796
Dy: 0.341 0.438 0.881

---

Entry 8:
Sm4Dy3Ho | PBE | optimized geometry

Output
energy above the most stable polymorph in this dataset = 0 meV/atom
DFT total energy = -37.08 eV per formula unit
formation energy from the elements = 0.2 eV/f.u.
SG = Pmn2_1 (31)

Lattice parameters (Å, degrees): 6.305 7.301 11.453 90.00 90.00 90.00
Positions (direct):
Dy: 0.481 0.377 0.250
Sm: 0.148 0.873 0.000
Sm: 0.648 0.127 0.500
Ho: 0.648 0.623 0.500
Dy: 0.481 0.377 0.750
Sm: 0.647 0.127 0.000
Sm: 0.147 0.873 0.500
Sm: 0.481 0.873 0.750
Sm: 0.981 0.127 0.250
Dy: 0.148 0.377 0.500
Sm: 0.981 0.127 0.750
Ho: 0.148 0.377 0.000
Dy: 0.981 0.623 0.750
Dy: 0.648 0.623 0.000
Dy: 0.981 0.623 0.250
Sm: 0.481 0.873 0.250

---

Entry 9:
Sm2Dy3Ho6 | PBE | optimized geometry

Output
energy above the most stable polymorph in this dataset = 0 meV/atom
DFT total energy = -48.65 eV per formula unit
formation energy from the elements = 2.1 eV/f.u.
SG = C2/m (12)

Lattice parameters (Å, degrees): 6.088 6.096 11.636 84.94 79.83 60.04
Positions (direct):
Ho: 0.416 0.666 0.752
Ho: 0.083 0.334 0.752
Sm: 0.167 0.667 0.500
Ho: 0.584 0.334 0.248
Sm: 0.833 0.333 0.500
Dy: 0.665 0.670 0.000
Dy: 0.335 0.330 0.000
Ho: 0.917 0.666 0.248
Ho: 0.250 0.000 0.248
Dy: 0.000 0.000 0.000
Ho: 0.750 0.000 0.752

---

Entry 10:
Sm6DyHo2 | PBE | optimized geometry

Output
energy above the most stable polymorph in this dataset = 0 meV/atom
DFT total energy = -41.93 eV per formula unit
formation energy from the elements = 0.1 eV/f.u.
SG = P-1 (2)

Lattice parameters (Å, degrees): 3.598 8.809 12.943 132.76 81.97 90.09
Positions (direct):
Sm: 0.222 0.891 0.558
Sm: 0.891 0.554 0.219
Sm: 0.778 0.109 0.442
Ho: 0.445 0.778 0.110
Sm: 0.334 0.331 0.331
Dy: 0.000 0.000 0.000
Sm: 0.109 0.446 0.781
Ho: 0.555 0.222 0.890
Sm: 0.666 0.669 0.669

---

Entry 11:
Sm2DyHo | PBE | optimized geometry

Output
energy above the most stable polymorph in this dataset = 5 meV/atom
DFT total energy = -18.55 eV per formula unit
formation energy from the elements = 0.1 eV/f.u.
SG = P4/mmm (123)

Lattice parameters (Å, degrees): 3.580 3.580 10.119 90.00 90.00 90.00
Positions (direct):
Ho: 0.500 0.500 0.000
Sm: 0.000 0.000 0.249
Sm: 0.000 0.000 0.751
Dy: 0.500 0.500 0.500

---

Entry 12:
SmDy2Ho6 | PBE | optimized geometry

Output
energy above the most stable polymorph in this dataset = 0 meV/atom
DFT total energy = -40.75 eV per formula unit
formation energy from the elements = 0.6 eV/f.u.
SG = Cmmm (65)

Lattice parameters (Å, degrees): 3.460 5.596 17.125 119.36 101.68 89.98
Positions (direct):
Ho: 0.113 0.168 0.612
Ho: 0.555 0.832 0.055
Ho: 0.225 0.836 0.724
Dy: 0.835 0.501 0.834
Ho: 0.775 0.164 0.276
Sm: 0.500 0.500 0.500
Ho: 0.445 0.168 0.945
Dy: 0.165 0.499 0.166
Ho: 0.887 0.832 0.388

---

| no. | total magnetization (μB/f.u.) | D(E_F) (states/eV/cell) |
| --- | --- | --- |
| 1 | 0.00 | 9.57 |
| 2 | 0.00 | 25.88 |
| 3 | 0.00 | 31.77 |
| 4 | 0.00 | 25.51 |
| 5 | 0.00 | 17.15 |
| 6 | 0.00 | 30.82 |
| 7 | 0.00 | 20.95 |
| 8 | 0.00 | 28.29 |
| 9 | 0.00 | 18.28 |
| 10 | 0.00 | 12.80 |
| 11 | 0.00 | 5.19 |
| 12 | 0.00 | 14.52 |